Record 1
# BaIn2Hg2 (PBE, relaxed)
# DFT formation energy	-0.19	eV/atom
data_BaIn2Hg2
_space_group_name_H-M_alt 'P 1'
_space_group_IT_number 1
_cell_length_a 8.965
_cell_length_b 8.965
_cell_length_c 3.733
_cell_angle_alpha 90.00
_cell_angle_beta 90.00
_cell_angle_gamma 90.00
loop_
_space_group_symop_operation_xyz
'x,y,z'
loop_
_atom_site_label
_atom_site_type_symbol
_atom_site_fract_x
_atom_site_fract_y
_atom_site_fract_z
Ba1 Ba 0.000 0.000 0.000
Ba2 Ba 0.500 0.500 0.000
In1 In 0.125 0.375 0.000
In2 In 0.375 0.875 0.000
In3 In 0.625 0.125 0.000
In4 In 0.875 0.625 0.000
Hg1 Hg 0.167 0.667 0.500
Hg2 Hg 0.333 0.167 0.500
Hg3 Hg 0.667 0.833 0.500
Hg4 Hg 0.833 0.333 0.500

=====

Record 2
# ZrTl2SeO6 (PBE, relaxed)
# energy relative to the elements, uncorrected	-12.1	eV per formula unit
data_ZrTl2SeO6
_space_group_name_H-M_alt 'P 1'
_space_group_IT_number 1
_cell_length_a 5.735
_cell_length_b 5.735
_cell_length_c 5.735
_cell_angle_alpha 119.90
_cell_angle_beta 119.90
_cell_angle_gamma 90.17
loop_
_space_group_symop_operation_xyz
'x,y,z'
loop_
_atom_site_label
_atom_site_type_symbol
_atom_site_fract_x
_atom_site_fract_y
_atom_site_fract_z
Zr1 Zr 0.000 0.000 0.000
Tl1 Tl 0.250 0.750 0.500
Tl2 Tl 0.750 0.250 0.500
Se1 Se 0.500 0.500 0.000
O1 O 0.264 0.264 0.529
O2 O 0.264 0.736 0.000
O3 O 0.265 0.265 0.000
O4 O 0.735 0.735 0.000
O5 O 0.736 0.264 0.000
O6 O 0.736 0.736 0.471

=====

Record 3
# ScH6Ir2Pd (PBE, relaxed)
# total DFT energy (no corrections)	-5.155	eV/atom
data_ScH6Ir2Pd
_space_group_name_H-M_alt 'P 1'
_space_group_IT_number 1
_cell_length_a 5.937
_cell_length_b 5.937
_cell_length_c 5.088
_cell_angle_alpha 99.46
_cell_angle_beta 99.46
_cell_angle_gamma 95.60
loop_
_space_group_symop_operation_xyz
'x,y,z'
loop_
_atom_site_label
_atom_site_type_symbol
_atom_site_fract_x
_atom_site_fract_y
_atom_site_fract_z
Sc1 Sc 0.182 0.818 0.750
Sc2 Sc 0.818 0.182 0.250
H1 H 0.099 0.534 0.372
H2 H 0.131 0.139 0.553
H3 H 0.139 0.131 0.053
H4 H 0.318 0.486 0.861
H5 H 0.466 0.901 0.128
H6 H 0.486 0.318 0.361
H7 H 0.514 0.682 0.639
H8 H 0.534 0.099 0.872
H9 H 0.682 0.514 0.139
H10 H 0.861 0.869 0.947
H11 H 0.869 0.861 0.447
H12 H 0.901 0.466 0.628
Ir1 Ir 0.054 0.321 0.820
Ir2 Ir 0.321 0.054 0.320
Ir3 Ir 0.679 0.946 0.680
Ir4 Ir 0.946 0.679 0.180
Pd1 Pd 0.414 0.586 0.250
Pd2 Pd 0.586 0.414 0.750

=====

Record 4
# CoS3Cl (PBE, relaxed)
# energy relative to the elements, uncorrected	7.2	eV per formula unit
# offset from the most stable computed form	1635.8	meV/atom
data_CoS3Cl
_space_group_name_H-M_alt 'P 1'
_space_group_IT_number 1
_cell_length_a 4.615
_cell_length_b 4.615
_cell_length_c 4.615
_cell_angle_alpha 90.00
_cell_angle_beta 90.00
_cell_angle_gamma 90.00
loop_
_space_group_symop_operation_xyz
'x,y,z'
loop_
_atom_site_label
_atom_site_type_symbol
_atom_site_fract_x
_atom_site_fract_y
_atom_site_fract_z
Co1 Co 0.000 0.000 0.000
S1 S 0.000 0.500 0.500
S2 S 0.500 0.000 0.500
S3 S 0.500 0.500 0.000
Cl1 Cl 0.500 0.500 0.500

=====

Here are the calculated volume numbers, same order: 300.0, 133.6, 173.0, 98.3 (Å³ per cell).
Here are the calculated total moment numbers, same order: 0.00, 0.00, 0.00, 3.14 (μB/f.u.).